# 1
This record from the Alexandria database describes a geometry-optimized CuNi2Sn2 structure. The functional is PBE. Values from VASP.

Cell and atoms, written as Quantum ESPRESSO input:
```
&SYSTEM
  ibrav = 0, nat = 10, ntyp = 3
/
ATOMIC_SPECIES
Cu 63.55 Cu.upf
Ni 58.69 Ni.upf
Sn 118.71 Sn.upf
CELL_PARAMETERS angstrom
6.701 0.000 0.000
0.000 6.701 0.000
0.000 0.000 3.559
ATOMIC_POSITIONS angstrom
Cu 0.000 0.000 0.000
Cu 3.351 3.351 0.000
Ni 0.900 2.450 0.000
Ni 2.450 5.801 0.000
Ni 4.251 0.900 0.000
Ni 5.801 4.251 0.000
Sn 1.125 4.475 1.779
Sn 2.226 1.125 1.779
Sn 4.475 5.576 1.779
Sn 5.576 2.226 1.779
```

Values from the calculation:
energy above the most stable polymorph in this dataset: 0 meV per atom
density of states at the Fermi level: 4.685 states/eV per cell
ΔH_f (0 K): -42 meV/atom
total moment: 0.0 μB per formula unit
space-group type: No. 127

***

# 2
This record from the Alexandria database describes a geometry-optimized CuNi3Sn5 structure. The functional is PBE. Values from VASP.

Cell and atoms, written as Quantum ESPRESSO input:
```
&SYSTEM
  ibrav = 0, nat = 18, ntyp = 3
/
ATOMIC_SPECIES
Cu 63.55 Cu.upf
Ni 58.69 Ni.upf
Sn 118.71 Sn.upf
CELL_PARAMETERS angstrom
5.792 -4.413 0.000
5.792 4.413 0.000
-5.657 0.000 7.155
ATOMIC_POSITIONS angstrom
Cu -0.303 0.000 2.915
Cu 6.231 0.000 4.240
Ni 0.000 0.000 0.000
Ni -2.828 0.000 3.578
Ni 1.827 0.000 1.630
Ni -0.877 0.000 5.609
Ni 6.804 0.000 1.546
Ni 4.100 0.000 5.525
Sn 1.552 2.247 2.823
Sn -3.345 0.000 6.215
Sn 5.792 1.904 0.000
Sn 4.375 2.247 4.332
Sn 1.663 0.000 5.125
Sn 4.264 0.000 2.030
Sn 1.552 -2.247 2.823
Sn 5.792 -1.904 0.000
Sn 9.272 0.000 0.940
Sn 4.375 -2.247 4.332
```

Values from the calculation:
density of states at the Fermi level: 8.042 states/eV per cell
ΔH_f (0 K): -2 meV/atom
total moment: 0.0 μB per formula unit
space-group type: No. 12

***

# 3
This record from the Alexandria database describes a geometry-optimized CuNi4Sn3 structure. The functional is PBE. Values from VASP.

Cell and atoms, written as Quantum ESPRESSO input:
```
&SYSTEM
  ibrav = 0, nat = 16, ntyp = 3
/
ATOMIC_SPECIES
Cu 63.55 Cu.upf
Ni 58.69 Ni.upf
Sn 118.71 Sn.upf
CELL_PARAMETERS angstrom
8.721 0.000 0.000
0.000 5.497 0.000
0.000 0.000 5.097
ATOMIC_POSITIONS angstrom
Cu 0.000 0.852 0.000
Cu 4.361 4.646 2.549
Ni 0.000 0.364 2.413
Ni 0.000 3.409 0.344
Ni 1.921 1.970 1.328
Ni 2.440 3.527 3.877
Ni 4.361 2.088 2.892
Ni 4.361 5.133 4.962
Ni 6.282 3.527 3.877
Ni 6.800 1.970 1.328
Sn 0.000 3.032 2.947
Sn 2.088 4.654 1.172
Sn 2.273 0.844 3.720
Sn 4.361 2.465 0.399
Sn 6.449 0.844 3.720
Sn 6.633 4.654 1.172
```

Values from the calculation:
density of states at the Fermi level: 8.519 states/eV per cell
ΔH_f (0 K): -48 meV/atom
total moment: 0.0 μB per formula unit
space-group type: No. 31

***

# 4
This record from the Alexandria database describes a geometry-optimized CuNiSn2 structure. The functional is PBE. Values from VASP.

Cell and atoms, written as Quantum ESPRESSO input:
```
&SYSTEM
  ibrav = 0, nat = 12, ntyp = 3
/
ATOMIC_SPECIES
Cu 63.55 Cu.upf
Ni 58.69 Ni.upf
Sn 118.71 Sn.upf
CELL_PARAMETERS angstrom
3.256 0.000 0.000
-1.628 2.820 0.000
0.000 0.000 26.319
ATOMIC_POSITIONS angstrom
Cu 0.000 0.000 0.000
Cu 0.000 1.880 17.546
Cu 1.628 0.940 8.773
Ni 0.000 0.000 13.160
Ni 0.000 1.880 4.387
Ni 1.628 0.940 21.933
Sn 0.000 0.000 2.529
Sn 0.000 0.000 23.790
Sn 0.000 1.880 15.017
Sn 0.000 1.880 20.076
Sn 1.628 0.940 6.244
Sn 1.628 0.940 11.302
```

Values from the calculation:
energy above the most stable polymorph in this dataset: 254 meV per atom
density of states at the Fermi level: 4.508 states/eV per cell
ΔH_f (0 K): 166 meV/atom
total moment: 0.0 μB per formula unit
space-group type: No. 166

***

# 5
This record from the Alexandria database describes a geometry-optimized CuNi6Sn structure. The functional is PBE. Values from VASP.

Cell and atoms, written as Quantum ESPRESSO input:
```
&SYSTEM
  ibrav = 0, nat = 8, ntyp = 3
/
ATOMIC_SPECIES
Cu 63.55 Cu.upf
Ni 58.69 Ni.upf
Sn 118.71 Sn.upf
CELL_PARAMETERS angstrom
5.175 0.000 0.000
-2.587 4.481 0.000
0.000 0.000 4.176
ATOMIC_POSITIONS angstrom
Cu 0.000 0.000 0.000
Ni 1.293 0.746 2.088
Ni 2.587 0.078 0.000
Ni 1.361 2.202 0.000
Ni 3.882 0.746 2.088
Ni 2.587 2.989 2.088
Ni 3.814 2.202 0.000
Sn 0.000 2.988 2.088
```

Values from the calculation:
energy above the most stable polymorph in this dataset: 5 meV per atom
density of states at the Fermi level: 11.038 states/eV per cell
ΔH_f (0 K): -37 meV/atom
total moment: 1.4 μB per formula unit
space-group type: No. 187

***

# 6
This record from the Alexandria database describes a geometry-optimized CuNi3Sn2 structure. The functional is PBE. Values from VASP.

Cell and atoms, written as Quantum ESPRESSO input:
```
&SYSTEM
  ibrav = 0, nat = 12, ntyp = 3
/
ATOMIC_SPECIES
Cu 63.55 Cu.upf
Ni 58.69 Ni.upf
Sn 118.71 Sn.upf
CELL_PARAMETERS angstrom
2.987 0.000 0.000
0.000 4.489 0.000
0.000 0.000 14.275
ATOMIC_POSITIONS angstrom
Cu 0.000 0.000 0.000
Cu 1.494 2.245 7.137
Ni 0.000 0.000 2.529
Ni 0.000 0.000 11.746
Ni 0.000 2.245 0.000
Ni 1.494 0.000 7.137
Ni 1.494 2.245 4.608
Ni 1.494 2.245 9.666
Sn 0.000 0.000 5.077
Sn 0.000 0.000 9.198
Sn 1.494 2.245 2.060
Sn 1.494 2.245 12.214
```

Values from the calculation:
density of states at the Fermi level: 6.228 states/eV per cell
ΔH_f (0 K): 195 meV/atom
total moment: 0.0 μB per formula unit
space-group type: No. 71

***

# 7
This record from the Alexandria database describes a geometry-optimized CuNi9Sn2 structure. The functional is PBE. Values from VASP.

Cell and atoms, written as Quantum ESPRESSO input:
```
&SYSTEM
  ibrav = 0, nat = 12, ntyp = 3
/
ATOMIC_SPECIES
Cu 63.55 Cu.upf
Ni 58.69 Ni.upf
Sn 118.71 Sn.upf
CELL_PARAMETERS angstrom
3.694 0.000 0.000
0.000 3.694 0.000
0.000 0.000 10.888
ATOMIC_POSITIONS angstrom
Cu 0.000 0.000 0.000
Ni 0.000 1.847 1.672
Ni 0.000 1.847 5.444
Ni 0.000 1.847 9.216
Ni 1.847 0.000 1.672
Ni 1.847 0.000 5.444
Ni 1.847 0.000 9.216
Ni 1.847 1.847 0.000
Ni 1.847 1.847 3.579
Ni 1.847 1.847 7.309
Sn 0.000 0.000 3.541
Sn 0.000 0.000 7.347
```

Values from the calculation:
density of states at the Fermi level: 14.335 states/eV per cell
ΔH_f (0 K): -87 meV/atom
total moment: 2.0 μB per formula unit
space-group type: No. 123

***

# 8
This record from the Alexandria database describes a geometry-optimized Cu3Ni7Sn structure. The functional is PBE. Values from VASP.

Cell and atoms, written as Quantum ESPRESSO input:
```
&SYSTEM
  ibrav = 0, nat = 11, ntyp = 3
/
ATOMIC_SPECIES
Cu 63.55 Cu.upf
Ni 58.69 Ni.upf
Sn 118.71 Sn.upf
CELL_PARAMETERS angstrom
4.097 -4.122 0.000
4.097 4.122 0.000
-1.874 0.000 4.324
ATOMIC_POSITIONS angstrom
Cu 0.000 0.000 0.000
Cu 3.160 2.416 2.162
Cu 3.160 -2.416 2.162
Ni 1.053 2.174 3.496
Ni 0.740 0.000 2.296
Ni 5.267 2.174 0.828
Ni 3.160 0.000 2.162
Ni 1.053 -2.174 3.496
Ni 5.580 0.000 2.028
Ni 5.267 -2.174 0.828
Sn 4.097 0.000 0.000
```

Values from the calculation:
density of states at the Fermi level: 16.047 states/eV per cell
ΔH_f (0 K): 305 meV/atom
total moment: 1.2 μB per formula unit
space-group type: No. 12

***

# 9
This record from the Alexandria database describes a geometry-optimized CuNiSn2 structure. The functional is PBE. Values from VASP.

Cell and atoms, written as Quantum ESPRESSO input:
```
&SYSTEM
  ibrav = 0, nat = 8, ntyp = 3
/
ATOMIC_SPECIES
Cu 63.55 Cu.upf
Ni 58.69 Ni.upf
Sn 118.71 Sn.upf
CELL_PARAMETERS angstrom
5.146 0.000 0.000
0.000 4.018 0.000
0.000 0.000 7.109
ATOMIC_POSITIONS angstrom
Cu 0.000 0.000 0.000
Cu 2.573 0.000 0.000
Ni 1.286 2.009 1.012
Ni 3.859 2.009 6.098
Sn 1.286 0.000 2.685
Sn 1.286 2.009 5.481
Sn 3.859 0.000 4.425
Sn 3.859 2.009 1.628
```

Values from the calculation:
energy above the most stable polymorph in this dataset: 0 meV per atom
density of states at the Fermi level: 3.856 states/eV per cell
ΔH_f (0 K): -88 meV/atom
total moment: 0.0 μB per formula unit
space-group type: No. 51

***

# 10
This record from the Alexandria database describes a geometry-optimized CuNiSn structure. The functional is PBE. Values from VASP.

Cell and atoms, written as Quantum ESPRESSO input:
```
&SYSTEM
  ibrav = 0, nat = 12, ntyp = 3
/
ATOMIC_SPECIES
Cu 63.55 Cu.upf
Ni 58.69 Ni.upf
Sn 118.71 Sn.upf
CELL_PARAMETERS angstrom
6.653 0.000 0.000
0.000 3.333 0.000
0.000 0.000 8.081
ATOMIC_POSITIONS angstrom
Cu 0.759 0.833 0.572
Cu 2.567 2.500 4.613
Cu 4.086 0.833 3.468
Cu 5.894 2.500 7.508
Ni 0.989 0.833 3.325
Ni 2.338 2.500 7.366
Ni 4.316 0.833 0.715
Ni 5.664 2.500 4.755
Sn 0.789 0.833 5.917
Sn 2.538 2.500 1.877
Sn 4.115 0.833 6.203
Sn 5.865 2.500 2.163
```

Values from the calculation:
density of states at the Fermi level: 4.085 states/eV per cell
ΔH_f (0 K): -25 meV/atom
total moment: 0.0 μB per formula unit
space-group type: No. 62

***

Question: What is the formula in the fourth record?
Answer: CuNiSn2

***

Question: Which of these has the highest total moment?
Answer: CuNi9Sn2

***

Question: Among the records above, which one has the highest density of states at the Fermi level?
Answer: Cu3Ni7Sn

***

Question: Which formula does entry 7 have?
Answer: CuNi9Sn2